Record 1
A relaxed RbI2F8 crystal. Source: the Alexandria database, functional PBE-GGA.

Values from the calculation:
Total moment = 0.000 μB/f.u.
Fermi-level density of states = 1.54 states/eV/f.u.

a = 6.1214 Å, b = 6.2091 Å, c = 6.6512 Å
α = 76.75°, β = 89.00°, γ = 89.68°
Last column: nearest neighbours and their distance in Å.
Space group P-1 (No. 2)
One atom of each set of equivalent atoms:
Rb (0.0000, 0.0000, 0.0000) x1  8 F 2.84-3.04
I (0.4916, 0.4311, 0.2598) x2  4 F 1.99-2.01
F (0.2195, 0.6152, 0.2369) x2  1 I 2.00
F (0.2360, 0.7475, 0.7382) x2  1 I 2.00
F (0.3102, 0.1601, 0.2858) x2  1 I 1.99
F (0.3294, 0.2903, 0.7885) x2  1 I 2.01

Record 2
A relaxed Rb2IF7 crystal. Source: the Alexandria database, functional PBE-GGA.

Values from the calculation:
Total moment = 0.000 μB/f.u.
Energy relative to the lowest polymorph listed for this composition = 285 meV/atom
Fermi-level density of states = 0.00 states/eV/f.u.

a = 9.4224 Å, b = 9.4224 Å, c = 9.4224 Å
α = 90.00°, β = 90.00°, γ = 90.00°
Last column: nearest neighbours and their distance in Å.
Space group Fm-3m (No. 225)
One atom of each set of equivalent atoms:
Rb (0.2500, 0.2500, 0.2500) x8  12 F 3.35
I (0.0000, 0.0000, 0.0000) x4  6 F 2.03
F (0.0000, 0.0000, 0.2156) x24  1 I 2.03
F (0.0000, 0.0000, 0.5000) x4  6 F 2.68

Record 3
A relaxed Rb4I3F crystal. Source: the Alexandria database, functional PBE-GGA.

Values from the calculation:
Total moment = 0.000 μB/f.u.
Energy relative to the lowest polymorph listed for this composition = 0 meV/atom
Fermi-level density of states = 0.00 states/eV/f.u.

a = 10.3860 Å, b = 12.5642 Å, c = 10.9858 Å
α = 90.00°, β = 90.00°, γ = 90.00°
Last column: nearest neighbours and their distance in Å.
Space group Pnma (No. 62)
One atom of each set of equivalent atoms:
Rb (0.0137, 0.2500, 0.1020) x4  1 F 2.66
Rb (0.1794, 0.0607, 0.4670) x8  1 F 2.65
Rb (0.2056, 0.7500, 0.2510) x4  1 F 2.70
I (0.0373, 0.0423, 0.7928) x8  6 Rb 3.66-3.89
I (0.1240, 0.7500, 0.5730) x4  5 Rb 3.64-3.97
F (0.2160, 0.7500, 0.0059) x4  4 Rb 2.65-2.70

Record 4
A relaxed Rb2I2F7 crystal. Source: the Alexandria database, functional PBE-GGA.

Values from the calculation:
Total moment = 1.019 μB/f.u.
Fermi-level density of states = 1.65 states/eV/f.u.

a = 7.6512 Å, b = 8.8941 Å, c = 7.0541 Å
α = 90.00°, β = 94.54°, γ = 90.00°
Last column: nearest neighbours and their distance in Å.
Space group C2/m (No. 12)
One atom of each set of equivalent atoms:
Rb (0.0000, 0.2379, 0.0000) x4  6 F 2.75-2.95
I (0.1910, 0.5000, 0.4976) x4  3 F 2.08-2.18
F (0.0000, 0.0000, 0.5000) x2  2 I 2.36
F (0.1615, 0.5000, 0.2013) x4  1 I 2.08
F (0.2211, 0.3589, 0.7507) x8  1 I 2.18

Record 5
A relaxed Rb2IF crystal. Source: the Alexandria database, functional PBE-GGA.

Values from the calculation:
Total moment = 0.000 μB/f.u.
Energy relative to the lowest polymorph listed for this composition = 99 meV/atom
Fermi-level density of states = 0.00 states/eV/f.u.

a = 4.5214 Å, b = 4.5214 Å, c = 24.2301 Å
α = 90.00°, β = 90.00°, γ = 120.00°
Last column: nearest neighbours and their distance in Å.
Space group R3m (No. 160, hexagonal axes)
One atom of each set of equivalent atoms:
Rb (0.0000, 0.0000, 0.0000) x3  3 F 3.02
Rb (0.0000, 0.0000, 0.2058) x3  3 F 3.04
I (0.0000, 0.0000, 0.4356) x3  6 Rb 3.60-3.62
F (0.0000, 0.0000, 0.6036) x3  6 Rb 3.02-3.04

Record 6
A relaxed RbI3F crystal. Source: the Alexandria database, functional PBE-GGA.

Values from the calculation:
Total moment = 0.000 μB/f.u.
Energy relative to the lowest polymorph listed for this composition = 0 meV/atom
Fermi-level density of states = 10.91 states/eV/f.u.

a = 6.5742 Å, b = 6.5742 Å, c = 4.3540 Å
α = 90.00°, β = 90.00°, γ = 90.00°
Last column: nearest neighbours and their distance in Å.
Space group P4/mmm (No. 123)
One atom of each set of equivalent atoms:
Rb (0.0000, 0.0000, 0.0000) x1  8 I 3.94, 2 Rb 4.35
I (0.0000, 0.5000, 0.5000) x2  2 F 3.29
I (0.5000, 0.5000, 0.0000) x1  2 F 2.18
F (0.5000, 0.5000, 0.5000) x1  2 I 2.18

What are the ρ values for these records? In order: 3.32 3.42 3.44 3.87 3.68 4.28 g/cm³.
What are the total DFT energy (no corrections) values for these records? In order: -3.45 -3.52 -3.05 -3.34 -3.32 -2.15 eV/atom.